A relaxed structure of CsLi2NpI8, computed with GGA-PBE.

a b c (Å): 7.6252 7.6252 10.9553
angles (deg): 104.14 104.14 67.98
Fractional positions:
Cs  0.0000  0.0000  0.0000
Li  0.4115  0.4115  0.6972
Li  0.5885  0.5885  0.3028
Np  0.0000  0.0000  0.5000
I  0.1864  0.6932  0.2926
I  0.2303  0.2303  0.4788
I  0.3068  0.8136  0.7074
I  0.3668  0.3668  0.9265
I  0.6332  0.6332  0.0735
I  0.6932  0.1864  0.2926
I  0.7697  0.7697  0.5212
I  0.8136  0.3068  0.7074

## Properties
The total DFT energy (no corrections) is -41.2 eV per formula unit. The space group is C2/m. The calculation puts the density of states at the Fermi level at 4.4 states/eV/f.u. As for the energy relative to the elements, uncorrected: -0.930 eV/atom. The density comes out at 4.12 g/cm3. As for the magnetization: 1.939 μB per formula unit.